The following is a DFT calculation (PBE) of a relaxed FeRhPbW2 crystal.

Properties
The space-group type is P4/mmm, No. 123. The calculation puts the total energy at -5.882 eV per atom.

a = 5.004 Å, b = 4.783 Å, c = 5.004 Å
α = 90.00°, β = 90.00°, γ = 90.00°
Each line ends with the local moment (μB).
Sites, in units of the cell vectors:
Rh 0.000 0.500 0.000  0.20
Pb 0.000 0.000 0.000  0.00
Fe 0.500 0.500 0.500  0.04
W 0.000 0.000 0.500  0.30
W 0.500 0.000 0.000  0.22



The following is a DFT calculation (PBE) of a relaxed GdErScTi crystal.

Properties
The space-group type is F-43m, No. 216. The calculation puts the total energy at -7.998 eV per atom.

a = 5.257 Å, b = 5.257 Å, c = 5.257 Å
α = 60.00°, β = 60.00°, γ = 60.00°
Each line ends with the local moment (μB).
Sites, in units of the cell vectors:
Er 0.000 0.000 0.000  -0.30
Ti 0.250 0.250 0.250  -1.24
Sc 0.750 0.750 0.750  -0.01
Gd 0.500 0.500 0.500  7.00



The following is a DFT calculation (PBE) of a relaxed La3Tm4Pb4 crystal.

Properties
The space-group type is Immm, No. 71. The calculation puts the total energy at -4.629 eV per atom.

a = 5.088 Å, b = 4.104 Å, c = 17.176 Å
α = 96.86°, β = 98.52°, γ = 90.00°
Sites, in units of the cell vectors:
Pb 0.452 0.452 0.904
La 0.646 0.146 0.292
La 0.000 0.000 0.000
Tm 0.260 0.260 0.521
Pb 0.548 0.548 0.096
La 0.354 0.854 0.708
Tm 0.740 0.740 0.479
Pb 0.815 0.315 0.629
Tm 0.905 0.405 0.810
Tm 0.095 0.595 0.190
Pb 0.185 0.685 0.371



The following is a DFT calculation (PBE) of a relaxed MnCdTcH crystal.

Properties
The space-group type is P3m1, No. 156. The value obtained for the energy above the most stable polymorph in this dataset is 117 meV per atom. The calculation puts the total energy at -5.655 eV per atom.

a = 2.810 Å, b = 2.810 Å, c = 7.479 Å
α = 90.00°, β = 90.00°, γ = 120.00°
Each line ends with the local moment (μB).
Sites, in units of the cell vectors:
Mn 0.333 0.667 0.516  0.41
Cd 0.667 0.333 0.888  0.00
H 0.000 0.000 0.589  -0.01
Tc 0.333 0.667 0.237  -0.14